This record from Alexandria via LeMat-Bulk describes CeTmGa4 after structural relaxation. The functional is PBE-GGA.

Output
Magnetic moment: 0.083 μB/atom
Calculated formation energy: -56.3 kJ per mole of atoms

Cell and atoms, written as extended XYZ:
```
6
Lattice="-3.566 2.045 -0.776 -1.504 -1.215 3.710 5.322 5.622 1.639" Properties=species:S:1:pos:R:3 pbc="T T T"
Ga -2.069 1.425 1.987
Ga 0.068 5.032 1.675
Ga -0.847 3.050 0.655
Ga 2.321 5.027 2.587
Ce 0.000 0.000 0.000
Tm 0.641 2.411 3.408
```



This record from Alexandria via LeMat-Bulk describes Sr4SbBr5 after structural relaxation. The functional is PBE-GGA.

Output
Magnetic moment: 0.000 μB/atom
Formation energy without anion corrections: -180.05 kJ/mol of atoms

Cell and atoms, written as extended XYZ:
```
10
Lattice="4.535 0.000 -1.066 -0.659 8.610 -2.805 -0.008 0.253 10.145" Properties=species:S:1:pos:R:3 pbc="T T T"
Br 0.535 3.034 2.275
Br 3.333 5.829 3.999
Br 1.938 4.305 -1.936
Br 3.683 1.208 5.486
Br 0.185 7.655 0.788
Sr -0.155 2.145 -0.660
Sr 4.023 6.718 6.934
Sr 0.909 7.717 3.866
Sr 2.959 1.146 2.408
Sb 2.268 0.000 -0.533
```



This record from Alexandria via LeMat-Bulk describes CoAgSeN2 after structural relaxation. The functional is PBE-GGA.

Output
Magnetic moment: 0.564 μB/atom
Formation energy without anion corrections: 209.43 kJ/mol of atoms

Cell and atoms, written as extended XYZ:
```
5
Lattice="-1.485 2.256 -2.858 -1.275 -3.213 -1.874 -4.772 0.306 2.721" Properties=species:S:1:pos:R:3 pbc="T T T"
N -0.742 1.128 -1.429
N -0.637 -1.607 -0.937
Ag 0.000 0.000 0.000
Se -2.386 0.153 1.361
Co -3.766 -0.326 -1.005
```



This record from Alexandria via LeMat-Bulk describes Cr2CuRu after structural relaxation. The functional is PBE-GGA.

Output
Magnetic moment: 0.121 μB/atom
Calculated formation energy: 22.5 kJ per mole of atoms

Cell and atoms, written as extended XYZ:
```
4
Lattice="-3.738 2.468 -0.726 -2.332 0.594 3.847 4.361 0.618 -1.090" Properties=species:S:1:pos:R:3 pbc="T T T"
Ru -0.503 1.372 2.159
Cr -6.069 3.062 3.120
Cr -3.035 1.531 1.560
Cu -1.206 2.308 -0.128
```



This record from Alexandria via LeMat-Bulk describes BeHgW2 after structural relaxation. The functional is PBE-GGA.

Output
Magnetic moment: 0.000 μB/atom
Calculated formation energy: 50.7 kJ per mole of atoms

Cell and atoms, written as extended XYZ:
```
4
Lattice="-1.326 -1.325 2.080 2.590 -0.095 1.061 -1.222 6.871 3.599" Properties=species:S:1:pos:R:3 pbc="T T T"
Hg -0.285 4.443 4.270
W -0.548 3.084 1.615
W -0.063 0.352 0.184
Be 0.326 1.007 2.470
```



This record from Alexandria via LeMat-Bulk describes ScTcCl2 after structural relaxation. The functional is PBE-GGA.

Output
Magnetic moment: 0.000 μB/atom
Formation energy without anion corrections: -47.87 kJ/mol of atoms

Cell and atoms, written as extended XYZ:
```
4
Lattice="3.208 -0.004 0.000 -1.492 2.840 0.000 0.000 0.000 9.452" Properties=species:S:1:pos:R:3 pbc="T T T"
Cl 0.858 1.418 2.993
Cl 0.000 0.000 8.779
Sc 0.000 0.000 4.846
Tc 0.858 1.418 7.013
```



This record from Alexandria via LeMat-Bulk describes SbAuBr after structural relaxation. The functional is PBE-GGA.

Output
Magnetic moment: 0.000 μB/atom
Formation energy without anion corrections: -3.99 kJ/mol of atoms

Cell and atoms, written as extended XYZ:
```
3
Lattice="-2.801 -1.233 2.619 3.790 0.585 1.232 -1.235 5.419 1.230" Properties=species:S:1:pos:R:3 pbc="T T T"
Sb 0.708 3.861 2.575
Br -0.985 1.045 2.536
Au -1.205 5.283 1.199
```



This record from Alexandria via LeMat-Bulk describes PmPr2Hg6 after structural relaxation. The functional is PBE-GGA.

Output
Magnetic moment: 0.000 μB/atom
Calculated formation energy: -36.3 kJ per mole of atoms

Cell and atoms, written as extended XYZ:
```
9
Lattice="-2.936 -1.371 -1.611 -4.350 -3.728 7.038 -6.664 4.185 4.519" Properties=species:S:1:pos:R:3 pbc="T T T"
Pm -6.975 -0.457 4.973
Hg -3.740 -1.442 3.980
Hg -4.536 1.280 3.113
Hg -4.755 -2.341 6.597
Hg -6.259 2.799 4.960
Hg -9.414 -2.193 6.833
Hg -10.210 0.529 5.966
Pr -11.279 -0.500 8.791
Pr -2.670 -0.413 1.155
```



This record from Alexandria via LeMat-Bulk describes Cs2Li2SnCl7 after structural relaxation. The functional is PBE-GGA.

Output
Magnetic moment: 0.091 μB/atom
Formation energy without anion corrections: -134.30 kJ/mol of atoms

Cell and atoms, written as extended XYZ:
```
12
Lattice="-0.382 -3.155 -3.956 3.175 -3.227 2.292 -8.508 -9.983 4.728" Properties=species:S:1:pos:R:3 pbc="T T T"
Cl 1.397 -3.191 -0.832
Cl -5.582 -10.292 5.027
Cl -0.132 -6.072 -1.962
Cl -7.274 -10.257 2.055
Cl 1.560 -6.107 1.009
Cl -3.455 -10.566 1.845
Cl -2.259 -5.798 1.219
Sn 0.000 0.000 0.000
Li -0.408 -4.666 0.178
Li -5.307 -11.698 2.886
Cs -4.987 -7.443 2.753
Cs -0.728 -8.922 0.311
```



This record from Alexandria via LeMat-Bulk describes Cs2ZrOsI6 after structural relaxation. The functional is PBE-GGA.

Output
Magnetic moment: 0.200 μB/atom
Formation energy without anion corrections: -48.19 kJ/mol of atoms

Cell and atoms, written as extended XYZ:
```
10
Lattice="-3.873 7.055 -1.446 -2.469 0.242 7.791 1.586 6.550 4.590" Properties=species:S:1:pos:R:3 pbc="T T T"
I -4.032 8.705 7.034
I -3.531 5.395 0.804
I -0.724 5.141 3.902
I -2.811 1.901 5.542
I -1.544 1.777 1.545
I -4.797 5.519 4.800
Cs -2.027 5.220 7.777
Cs -2.729 8.627 3.158
Zr -3.171 3.648 3.173
Os 0.000 0.000 0.000
```



This record from Alexandria via LeMat-Bulk describes Er4RhPb after structural relaxation. The functional is PBE-GGA.

Output
Magnetic moment: 0.000 μB/atom
Calculated formation energy: -50.6 kJ per mole of atoms

Cell and atoms, written as extended XYZ:
```
12
Lattice="-5.216 2.960 -0.435 -0.884 -7.355 -4.327 0.881 -0.808 7.934" Properties=species:S:1:pos:R:3 pbc="T T T"
Er -1.389 -4.542 3.860
Er -2.207 -6.357 1.008
Er -1.064 -1.708 1.377
Er -3.012 1.153 2.165
Er -4.155 -3.496 1.795
Er -5.508 -3.127 -2.678
Er -3.830 -0.661 -0.688
Er 0.289 -2.077 5.851
Pb -2.303 -3.710 -0.845
Pb -2.916 -1.494 4.018
Rh -1.305 0.739 -0.106
Rh -3.914 -5.943 3.279
```



This record from Alexandria via LeMat-Bulk describes V3HgMo after structural relaxation. The functional is PBE-GGA.

Output
Magnetic moment: 1.071 μB/atom
Calculated formation energy: 202.7 kJ per mole of atoms

Cell and atoms, written as extended XYZ:
```
5
Lattice="4.904 0.000 0.000 0.000 4.904 0.000 0.000 0.000 4.904" Properties=species:S:1:pos:R:3 pbc="T T T"
Mo 2.452 2.452 2.452
V 0.000 2.452 0.000
V 2.452 0.000 0.000
V 0.000 0.000 2.452
Hg 0.000 0.000 0.000
```